# TeI2Cl, optimized geometry, DFT PBE
# Energy above the lowest structure with this stoichiometry: 30 meV/atom
# Uncorrected energy: -8.7 eV for the cell shown
# Crystal system: triclinic
data_TeI2Cl
_chemical_formula_sum 'Te1 I2 Cl1'
_cell_length_a 4.486
_cell_length_b 5.456
_cell_length_c 7.698
_cell_angle_alpha 110.67
_cell_angle_beta 104.56
_cell_angle_gamma 90.01
_space_group_name_H-M_alt 'P -1'
_space_group_IT_number 2
_space_group_name_Hall '-P 1'
loop_
_atom_site_label
_atom_site_type_symbol
_atom_site_fract_x
_atom_site_fract_y
_atom_site_fract_z
Te1 Te 0.000 0.000 0.000
I1 I 0.332 0.851 0.700
Cl1 Cl 0.000 0.500 0.000